BaHgGe4: relaxed, GGA-PBE.

Computed properties:
VASP energy, eV per atom: -3.521
Total moment, μB per formula unit: 0.00

Cell lengths 8.322, 8.322, 8.322 Å; angles 90.00, 90.00, 90.00 degrees
Space group F-43m (No. 216)
Asymmetric unit:
Ba 0.000 0.000 0.000 [4 per cell]
Hg 0.250 0.250 0.250 [4 per cell]
Ge 0.123 0.123 0.623 [16 per cell]



Ba4Hg2Ge: relaxed, GGA-PBE.

Computed properties:
VASP energy, eV per atom: -2.265
Total moment, μB per formula unit: 0.00

Cell lengths 5.8915, 5.8915, 28.9496 Å; angles 90.00, 90.00, 120.00 degrees
Space group R-3m (No. 166, hexagonal axes)
Asymmetric unit:
Ba 0.0000 0.0000 0.1187 [6 per cell]
Ba 0.0000 0.0000 0.3699 [6 per cell]
Hg 0.0000 0.0000 0.2452 [6 per cell]
Ge 0.0000 0.0000 0.0000 [3 per cell]



BaHg2Ge2: relaxed, GGA-PBE.

Computed properties:
VASP energy, eV per atom: -2.402
Total moment, μB per formula unit: 0.00

Cell lengths 8.416, 8.416, 3.809 Å; angles 90.00, 90.00, 90.00 degrees
Space group P4/mbm (No. 127)
Asymmetric unit:
Ba 0.000 0.000 0.000 [2 per cell]
Hg 0.167 0.333 0.500 [4 per cell]
Ge 0.114 0.614 0.000 [4 per cell]



BaHg2Ge: relaxed, GGA-PBE.

Computed properties:
VASP energy, eV per atom: -2.085
Total moment, μB per formula unit: 0.00

Cell lengths 4.8612, 4.8612, 17.7956 Å; angles 90.00, 90.00, 120.00 degrees
Space group R-3m (No. 166, hexagonal axes)
Asymmetric unit:
Ba 0.0000 0.0000 0.0000 [3 per cell]
Hg 0.0000 0.0000 0.2193 [6 per cell]
Ge 0.0000 0.0000 0.5000 [3 per cell]



Ba2HgGe3: relaxed, GGA-PBE.

Computed properties:
VASP energy, eV per atom: -3.488
Total moment, μB per formula unit: 0.00

Cell lengths 4.764, 4.940, 7.683 Å; angles 90.00, 90.00, 90.00 degrees
Space group Pmm2 (No. 25)
Asymmetric unit:
Ba 0.000 0.000 0.000 [1 per cell]
Ba 0.500 0.000 0.484 [1 per cell]
Hg 0.000 0.500 0.658 [1 per cell]
Ge 0.000 0.500 0.304 [1 per cell]
Ge 0.500 0.500 0.165 [1 per cell]
Ge 0.500 0.500 0.834 [1 per cell]



Ba2HgGe3: relaxed, GGA-PBE.

Computed properties:
VASP energy, eV per atom: -3.487
Total moment, μB per formula unit: 0.00

Cell lengths 9.121, 9.988, 15.829 Å; angles 90.00, 90.00, 90.00 degrees
Space group Fmmm (No. 69)
Asymmetric unit:
Ba 0.000 0.243 0.000 [8 per cell]
Ba 0.250 0.250 0.250 [8 per cell]
Hg 0.000 0.000 0.335 [8 per cell]
Ge 0.000 0.000 0.162 [8 per cell]
Ge 0.244 0.000 0.081 [16 per cell]



Ba5Hg2Ge2: relaxed, GGA-PBE.

Computed properties:
VASP energy, eV per atom: -2.638
Total moment, μB per formula unit: 0.00

Cell lengths 18.653, 8.638, 8.699 Å; angles 90.00, 90.00, 90.00 degrees
Space group Cmce (No. 64)
Asymmetric unit:
Ba 0.000 0.000 0.000 [4 per cell]
Ba 0.132 0.176 0.323 [16 per cell]
Hg 0.212 0.000 0.000 [8 per cell]
Ge 0.000 0.108 0.604 [8 per cell]



BaHg3Ge: relaxed, GGA-PBE.

Computed properties:
VASP energy, eV per atom: -1.657
Total moment, μB per formula unit: 0.00

Cell lengths 5.444, 5.444, 5.444 Å; angles 90.00, 90.00, 90.00 degrees
Space group Pm-3m (No. 221)
Asymmetric unit:
Ba 0.000 0.000 0.000 [1 per cell]
Hg 0.000 0.500 0.500 [3 per cell]
Ge 0.500 0.500 0.500 [1 per cell]



Ba2HgGe2: relaxed, GGA-PBE.

Computed properties:
VASP energy, eV per atom: -3.192
Total moment, μB per formula unit: 0.00

Cell lengths 11.799, 5.138, 11.771 Å; angles 90.00, 117.48, 90.00 degrees
Space group C2/m (No. 12)
Asymmetric unit:
Ba 0.089 0.000 0.394 [4 per cell]
Ba 0.201 0.500 0.162 [4 per cell]
Hg 0.094 0.500 0.831 [4 per cell]
Ge 0.080 0.000 0.953 [4 per cell]
Ge 0.115 0.500 0.600 [4 per cell]



Ba5HgGe2: relaxed, GGA-PBE.

Computed properties:
VASP energy, eV per atom: -2.854
Total moment, μB per formula unit: 0.00

Cell lengths 8.671, 8.671, 17.554 Å; angles 90.00, 90.00, 90.00 degrees
Space group I4/mcm (No. 140)
Asymmetric unit:
Ba 0.000 0.000 0.000 [4 per cell]
Ba 0.174 0.326 0.136 [16 per cell]
Hg 0.000 0.000 0.250 [4 per cell]
Ge 0.108 0.392 0.500 [8 per cell]



BaHg2Ge: relaxed, GGA-PBE.

Computed properties:
VASP energy, eV per atom: -2.175
Total moment, μB per formula unit: 0.00

Cell lengths 4.727, 20.265, 4.948 Å; angles 90.00, 90.00, 90.00 degrees
Space group Cmcm (No. 63)
Asymmetric unit:
Ba 0.000 0.116 0.250 [4 per cell]
Hg 0.000 0.251 0.750 [4 per cell]
Hg 0.000 0.464 0.250 [4 per cell]
Ge 0.000 0.328 0.250 [4 per cell]



BaHgGe2: relaxed, GGA-PBE.

Computed properties:
VASP energy, eV per atom: -3.030
Total moment, μB per formula unit: 0.00

Cell lengths 5.080, 5.080, 19.428 Å; angles 90.00, 90.00, 90.00 degrees
Space group I-42d (No. 122)
Asymmetric unit:
Ba 0.000 0.000 0.000 [4 per cell]
Hg 0.000 0.000 0.500 [4 per cell]
Ge 0.081 0.250 0.625 [8 per cell]